Here is a relaxed B2IrBrO crystal from Alexandria. Energies are from PBE.

Cell lengths 3.5152, 5.4342, 3.5152 Å; angles 90.00, 90.00, 90.00 degrees
With the nearest neighbours (Å) after each atom.
Fractional coordinates of all 5 atoms:
Ir 0.5000 0.5000 0.5000  4 Br 2.49
O 0.0000 0.0000 0.0000  4 B 1.76
Br 0.0000 0.5000 0.0000  4 Ir 2.49, 2 O 2.72
B 0.5000 0.0000 0.0000  2 O 1.76
B 0.0000 0.0000 0.5000  2 O 1.76

Calculated values
Energy relative to the elements, uncorrected   8.2 eV/f.u.
Size of the total moment   0.000 μB/f.u.